i.
Ca2CuTc at its PBEsol-relaxed geometry. Source: Alexandria, functional meta-GGA SCAN.

Cell and atoms, written as POSCAR:
```
Ca2CuTc
1.0
2.908 0.000 0.000
0.000 3.399 0.000
0.000 0.000 8.041
Ca Cu Tc
2 1 1
direct
0.000 0.000 0.249
0.000 0.000 0.751
0.500 0.500 0.000
0.500 0.500 0.500
```

* volume: 19.9 Å³/atom
* magnetic moment: 0.000 μB per atom



ii.
Ca2CuTc at its PBEsol-relaxed geometry. Source: Alexandria, functional meta-GGA SCAN.

Cell and atoms, written as POSCAR:
```
Ca2CuTc
1.0
-1.549 2.500 5.314
1.549 -2.500 5.314
1.549 2.500 -5.314
Ca Cu Tc
2 1 1
direct
0.000 0.000 0.000
0.703 0.203 0.500
0.252 0.752 0.500
0.433 0.433 0.000
```

* volume: 20.6 Å³/atom
* magnetic moment: 0.000 μB per atom



Pick the most stable structure from those above. Pick: ii